{"formula": "GeI3O", "functional": "PBE", "state": "relaxed", "lattice_angstrom": [[5.1271, 0.0000, 0.0000], [0.0000, 5.1271, 0.0000], [0.0000, 0.0000, 5.1271]], "species": ["Ge", "I", "I", "I", "O"], "frac_coords": [[0.0000, 0.0000, 0.0000], [0.0000, 0.5000, 0.5000], [0.5000, 0.0000, 0.5000], [0.5000, 0.5000, 0.0000], [0.5000, 0.5000, 0.5000]], "de_polymorph_mev_per_atom": 0, "sg": "No. 221", "magnetic_moment_mub_per_cell": 0.00, "e_form_raw_mev_per_atom": 506.8, "n_ef_per_ev_atom": 0.77}